# 1
! ScB3Se, relaxed, DFT PBE; values from VASP
&SYSTEM
  ibrav = 0, nat = 5, ntyp = 3
/
ATOMIC_SPECIES
B 10.81 B.upf
Se 78.96 Se.upf
Sc 44.96 Sc.upf
ATOMIC_POSITIONS crystal
B 0.500 0.000 0.000
B 0.000 0.000 0.500
B 0.000 0.500 0.000
Se 0.000 0.000 0.000
Sc 0.500 0.500 0.500
CELL_PARAMETERS angstrom
-2.904 0.818 2.786
2.755 -0.468 3.009
0.917 3.997 -0.218
! DFT total energy, eV per atom: -4.502
! Formation energy without anion corrections, meV per atom: 1468
! DOS at the Fermi energy, states/eV/atom: 0.489

# 2
! ScBSe2, relaxed, DFT PBE; values from VASP
&SYSTEM
  ibrav = 0, nat = 8, ntyp = 3
/
ATOMIC_SPECIES
Se 78.96 Se.upf
B 10.81 B.upf
Sc 44.96 Sc.upf
ATOMIC_POSITIONS crystal
Se 0.375 0.457 0.750
Se 0.207 0.625 0.250
Se 0.543 0.125 0.250
Se 0.875 0.793 0.750
B 0.500 0.500 0.000
B 0.250 0.750 0.500
Sc 0.750 0.250 0.500
Sc 0.000 0.000 0.000
CELL_PARAMETERS angstrom
-4.250 2.424 3.283
1.808 -3.132 4.652
1.573 2.977 5.124
! DFT total energy, eV per atom: -5.200
! Formation energy without anion corrections, meV per atom: -205
! DOS at the Fermi energy, states/eV/atom: 0.783

# 3
! Sc2BSe, relaxed, DFT PBE; values from VASP
&SYSTEM
  ibrav = 0, nat = 4, ntyp = 3
/
ATOMIC_SPECIES
Sc 44.96 Sc.upf
B 10.81 B.upf
Se 78.96 Se.upf
ATOMIC_POSITIONS crystal
Sc 0.750 0.750 0.750
Sc 0.250 0.250 0.250
B 0.000 0.000 0.000
Se 0.500 0.500 0.500
CELL_PARAMETERS angstrom
4.517 0.093 0.611
1.725 0.378 4.204
2.114 -3.552 1.925
! DFT total energy, eV per atom: -6.003
! Formation energy without anion corrections, meV per atom: -296
! DOS at the Fermi energy, states/eV/atom: 1.080

# 4
! ScBW2Se, relaxed, DFT PBE; values from VASP
&SYSTEM
  ibrav = 0, nat = 5, ntyp = 4
/
ATOMIC_SPECIES
Sc 44.96 Sc.upf
W 183.84 W.upf
B 10.81 B.upf
Se 78.96 Se.upf
ATOMIC_POSITIONS crystal
Sc 0.500 0.500 0.500
W 0.500 0.000 0.000
B 0.000 0.000 0.000
Se 0.000 0.500 0.000
W 0.000 0.000 0.500
CELL_PARAMETERS angstrom
4.187 0.000 0.000
0.000 4.836 0.000
0.000 0.000 4.187
! DFT total energy, eV per atom: -7.951
! Formation energy without anion corrections, meV per atom: 529
! DOS at the Fermi energy, states/eV/atom: 1.094

# 5
! ScSiB3, relaxed, DFT PBE; values from VASP
&SYSTEM
  ibrav = 0, nat = 5, ntyp = 3
/
ATOMIC_SPECIES
B 10.81 B.upf
Si 28.09 Si.upf
Sc 44.96 Sc.upf
ATOMIC_POSITIONS crystal
B 0.500 0.000 0.000
B 0.000 0.000 0.500
B 0.000 0.500 0.000
Si 0.000 0.000 0.000
Sc 0.500 0.500 0.500
CELL_PARAMETERS angstrom
-3.614 1.314 0.788
-0.885 -0.141 -3.822
-1.251 -3.696 0.426
! DFT total energy, eV per atom: -5.510
! Formation energy without anion corrections, meV per atom: 848
! DOS at the Fermi energy, states/eV/atom: 0.452

# 6
! Sc2SiB, relaxed, DFT PBE; values from VASP
&SYSTEM
  ibrav = 0, nat = 8, ntyp = 3
/
ATOMIC_SPECIES
Sc 44.96 Sc.upf
Si 28.09 Si.upf
B 10.81 B.upf
ATOMIC_POSITIONS crystal
Sc 0.375 0.415 0.750
Si 0.000 0.000 0.000
Sc 0.585 0.125 0.250
B 0.500 0.500 0.000
Sc 0.875 0.835 0.750
B 0.250 0.750 0.500
Si 0.750 0.250 0.500
Sc 0.165 0.625 0.250
CELL_PARAMETERS angstrom
6.852 0.000 0.000
0.000 6.852 0.000
3.426 3.426 2.900
! DFT total energy, eV per atom: -6.166
! Formation energy without anion corrections, meV per atom: 25
! DOS at the Fermi energy, states/eV/atom: 0.583